PBE KCuPtO2, relaxed; volume = 16.781 Å³/atom; size of the total moment = 0.00 μB/atom; raw formation energy = -0.544 eV per atom; calculated total energy = -0.175 hartree per atom
1.0
3.322 -6.131 0.000
3.322 6.131 0.000
0.000 0.000 4.120
K Cu Pt O
2 2 2 4
direct
0.250 0.750 0.862
0.750 0.250 0.138
0.000 0.000 0.000
0.500 0.500 0.000
0.250 0.250 0.500
0.750 0.750 0.500
0.100 0.900 0.401
0.400 0.600 0.401
0.600 0.400 0.599
0.900 0.100 0.599


PBE KPuCuO4, relaxed; volume = 16.700 Å³/atom; size of the total moment = 0.29 μB/atom; raw formation energy = -1.683 eV per atom; calculated total energy = -0.268 hartree per atom
1.0
3.221 -4.827 0.000
3.221 4.827 0.000
0.000 0.000 7.518
K Pu Cu O
2 2 2 8
direct
0.000 0.000 0.000
0.000 0.000 0.500
0.329 0.671 0.750
0.671 0.329 0.250
0.363 0.637 0.250
0.637 0.363 0.750
0.264 0.305 0.750
0.298 0.702 0.009
0.298 0.702 0.491
0.305 0.264 0.250
0.695 0.736 0.750
0.702 0.298 0.509
0.702 0.298 0.991
0.736 0.695 0.250